[1]
Entry from Alexandria: a relaxed structure of LiTlSe2 (PBE).

Unit cell a=4.5082 b=6.6410 c=7.6860 alpha=80.43 beta=98.25 gamma=106.46
Sites, in units of the cell vectors:
Se  0.4143  0.0896  0.0233
Li  0.4790  0.2588  0.7031
Li  0.4395  0.9555  0.3502
Se  0.0464  0.4563  0.6783
Tl  0.0638  0.3622  0.1416
Se  0.9749  0.0361  0.5236
Se  0.9292  0.6890  0.4190
Tl  0.7674  0.7920  0.9102

***

[2]
Entry from Alexandria: a relaxed structure of LiTl5Se4 (PBE).

Unit cell a=4.7262 b=7.3645 c=10.3159 alpha=120.60 beta=103.24 gamma=90.00
Sites, in units of the cell vectors:
Li  0.5000  0.0000  0.0000
Tl  0.1649  0.7379  0.3298
Tl  0.5000  0.5000  0.0000
Tl  0.8351  0.2621  0.6702
Se  0.6563  0.9875  0.3125
Se  0.0356  0.1992  0.0712
Tl  0.1994  0.2954  0.3988
Se  0.9644  0.8008  0.9288
Se  0.3437  0.0125  0.6875
Tl  0.8006  0.7046  0.6012

***

[3]
Entry from Alexandria: a relaxed structure of Li3TlSe (PBE).

Unit cell a=4.8675 b=4.8675 c=4.8675 alpha=90.00 beta=90.00 gamma=90.00
Sites, in units of the cell vectors:
Li  0.0000  0.0000  0.5000
Li  0.0000  0.5000  0.0000
Tl  0.5000  0.5000  0.5000
Se  0.0000  0.0000  0.0000
Li  0.5000  0.0000  0.0000

The calculation puts the distance to the lowest polymorph of the same formula at 0 meV/atom.

***

[4]
Entry from Alexandria: a relaxed structure of LiTlSe2 (PBE).

Unit cell a=7.2073 b=4.0248 c=14.0705 alpha=90.00 beta=90.00 gamma=90.00
Sites, in units of the cell vectors:
Tl  0.9443  0.2500  0.1130
Se  0.4099  0.2500  0.7221
Se  0.9099  0.2500  0.7779
Se  0.0901  0.7500  0.2221
Se  0.2688  0.2500  0.9881
Li  0.6018  0.2500  0.8823
Li  0.1018  0.2500  0.6177
Se  0.7688  0.2500  0.5119
Li  0.8982  0.7500  0.3823
Se  0.7312  0.7500  0.0119
Li  0.3982  0.7500  0.1177
Se  0.5901  0.7500  0.2779
Tl  0.5557  0.7500  0.6130
Se  0.2312  0.7500  0.4881
Tl  0.4443  0.2500  0.3870
Tl  0.0557  0.7500  0.8870

***

[5]
Entry from Alexandria: a relaxed structure of LiTlSe2 (PBE).

Unit cell a=6.3061 b=4.1126 c=16.7231 alpha=90.00 beta=90.00 gamma=90.00
Sites, in units of the cell vectors:
Li  0.0890  0.2500  0.2056
Li  0.4110  0.7500  0.7056
Se  0.6844  0.2500  0.7103
Se  0.2380  0.7500  0.5588
Se  0.7380  0.7500  0.9412
Se  0.8156  0.7500  0.2103
Se  0.2620  0.2500  0.0588
Tl  0.5223  0.7500  0.1001
Se  0.7620  0.2500  0.4412
Tl  0.9777  0.2500  0.6001
Tl  0.0223  0.7500  0.3999
Li  0.5890  0.2500  0.2944
Li  0.9110  0.7500  0.7944
Se  0.3156  0.7500  0.2897
Tl  0.4777  0.2500  0.8999
Se  0.1844  0.2500  0.7897

***

[6]
Entry from Alexandria: a relaxed structure of LiTl2Se (PBE).

Unit cell a=8.3781 b=8.3781 c=6.6790 alpha=51.16 beta=51.16 gamma=90.00
Sites, in units of the cell vectors:
Li  0.2500  0.7500  0.5000
Se  0.0000  0.0000  0.0000
Tl  0.8750  0.8842  0.7500
Tl  0.1158  0.6250  0.2500
Tl  0.3750  0.3658  0.7500
Se  0.7500  0.2500  0.5000
Li  0.5000  0.5000  0.0000
Tl  0.6342  0.1250  0.2500

***

[7]
Entry from Alexandria: a relaxed structure of LiTlSe2 (PBE).

Unit cell a=7.0666 b=7.0666 c=6.6014 alpha=57.64 beta=57.64 gamma=90.00
Sites, in units of the cell vectors:
Se  0.1237  0.6237  0.0000
Se  0.3763  0.1237  0.0000
Se  0.6237  0.8763  0.0000
Se  0.8763  0.3763  0.0000
Li  0.2500  0.7500  0.5000
Tl  0.7500  0.7500  0.5000
Li  0.7500  0.2500  0.5000
Tl  0.2500  0.2500  0.5000

***

[8]
Entry from Alexandria: a relaxed structure of Li3TlSe (PBE).

Unit cell a=5.0430 b=5.0430 c=5.0430 alpha=90.00 beta=90.00 gamma=90.00
Sites, in units of the cell vectors:
Li  0.0000  0.5000  0.0000
Tl  0.0000  0.0000  0.0000
Li  0.5000  0.0000  0.0000
Se  0.5000  0.5000  0.5000
Li  0.0000  0.0000  0.5000

The calculation puts the distance to the lowest polymorph of the same formula at 702 meV/atom.

***

[9]
Entry from Alexandria: a relaxed structure of LiTl2Se (PBE).

Unit cell a=6.6795 b=6.6795 c=6.6795 alpha=144.26 beta=139.83 gamma=54.84
Sites, in units of the cell vectors:
Se  0.3231  0.8231  0.5000
Tl  0.0063  0.0063  0.0000
Li  0.4404  0.4404  0.0000
Tl  0.7301  0.2301  0.5000

***

[10]
Entry from Alexandria: a relaxed structure of LiTl2Se2 (PBE).

Unit cell a=5.6404 b=5.6404 c=6.1037 alpha=62.48 beta=62.48 gamma=90.00
Sites, in units of the cell vectors:
Tl  0.3399  0.3399  0.3202
Li  0.0000  0.0000  0.0000
Tl  0.6601  0.6601  0.6798
Se  0.2500  0.7500  0.5000
Se  0.7500  0.2500  0.5000

The calculation puts the distance to the lowest polymorph of the same formula at 250 meV/atom.

***

[11]
Entry from Alexandria: a relaxed structure of LiTlSe2 (PBE).

Unit cell a=5.5208 b=5.5208 c=5.5208 alpha=130.71 beta=130.71 gamma=72.27
Sites, in units of the cell vectors:
Se  0.0000  0.0000  0.0000
Se  0.5000  0.5000  0.0000
Tl  0.2500  0.7500  0.5000
Li  0.7500  0.2500  0.5000

***

[12]
Entry from Alexandria: a relaxed structure of LiTlSe2 (PBE).

Unit cell a=3.8317 b=3.8618 c=6.4453 alpha=90.00 beta=90.00 gamma=90.00
Sites, in units of the cell vectors:
Se  0.0000  0.0000  0.5581
Se  0.0000  0.0000  0.9419
Tl  0.5000  0.5000  0.2500
Li  0.5000  0.5000  0.7500

***

[13]
Entry from Alexandria: a relaxed structure of LiTl2Se (PBE).

Unit cell a=3.9732 b=3.9732 c=6.5012 alpha=90.00 beta=90.00 gamma=90.04
Sites, in units of the cell vectors:
Li  0.5000  0.5000  0.2500
Se  0.5000  0.5000  0.7500
Tl  0.0000  0.0000  0.9948
Tl  0.0000  0.0000  0.5052

***

[14]
Entry from Alexandria: a relaxed structure of LiTlSe2 (PBE).

Unit cell a=6.3809 b=6.3809 c=6.3809 alpha=142.95 beta=142.95 gamma=53.40
Sites, in units of the cell vectors:
Tl  0.5000  0.5000  0.0000
Se  0.0000  0.0000  0.0000
Li  0.7500  0.2500  0.5000
Se  0.2500  0.7500  0.5000

***

[15]
Entry from Alexandria: a relaxed structure of Li3Tl5Se12 (PBE).

Unit cell a=15.0100 b=15.0100 c=15.0100 alpha=109.47 beta=109.47 gamma=109.47
Sites, in units of the cell vectors:
Tl  0.8750  0.2500  0.6250
Se  0.9368  0.1324  0.8450
Se  0.9368  0.8043  0.5917
Li  0.6250  0.2500  0.3750
Se  0.0632  0.1957  0.4083
Se  0.1324  0.9368  0.3450
Tl  0.8750  0.6250  0.7500
Se  0.0917  0.6550  0.7874
Se  0.8450  0.2126  0.4083
Se  0.1550  0.3676  0.0632
Se  0.7874  0.1550  0.0917
Li  0.2500  0.6250  0.8750
Li  0.6250  0.3750  0.7500
Tl  0.2500  0.3750  0.6250
Se  0.5632  0.9083  0.6957
Se  0.3043  0.7126  0.3676
Se  0.8676  0.0632  0.6550
Tl  0.0000  0.5000  0.0000
Tl  0.5000  0.5000  0.0000
Se  0.6324  0.8450  0.4368
Se  0.8450  0.6324  0.9368
Li  0.7500  0.3750  0.1250
Se  0.7126  0.4083  0.3450
Se  0.3676  0.1550  0.5632
Se  0.1550  0.7874  0.5917
Se  0.6957  0.4083  0.5632
Tl  0.0000  0.0000  0.0000
Tl  0.3750  0.1250  0.7500
Li  0.2500  0.1250  0.3750
Tl  0.3750  0.2500  0.1250
Se  0.2874  0.6957  0.1324
Tl  0.7500  0.1250  0.8750
Se  0.1324  0.1957  0.2874
Se  0.4083  0.7126  0.8450
Se  0.8676  0.8043  0.7126
Se  0.7126  0.3043  0.8676
Li  0.3750  0.7500  0.6250
Li  0.7500  0.8750  0.6250
Tl  0.6250  0.8750  0.2500
Se  0.4368  0.0917  0.3043
Se  0.2126  0.8450  0.9083
Se  0.3450  0.4368  0.1324
Tl  0.5000  0.0000  0.5000
Se  0.3450  0.9083  0.7126
Se  0.0632  0.8676  0.1550
Tl  0.1250  0.3750  0.2500
Tl  0.6250  0.7500  0.8750
Se  0.1957  0.0632  0.9083
Li  0.1250  0.2500  0.8750
Se  0.5917  0.2874  0.1550
Se  0.0917  0.4368  0.8043
Li  0.8750  0.7500  0.1250
Se  0.2126  0.3676  0.8043
Se  0.6550  0.0917  0.2874
Li  0.8750  0.1250  0.2500
Se  0.3676  0.2126  0.3043
Se  0.8043  0.9368  0.0917
Tl  0.0000  0.5000  0.5000
Li  0.3750  0.6250  0.2500
Se  0.7874  0.6324  0.1957
Se  0.9083  0.3450  0.2126
Se  0.4083  0.6957  0.0632
Se  0.6957  0.2874  0.6324
Tl  0.1250  0.7500  0.3750
Tl  0.7500  0.6250  0.3750
Se  0.5917  0.3043  0.9368
Li  0.1250  0.8750  0.7500
Se  0.4368  0.3450  0.6324
Se  0.8043  0.8676  0.2126
Se  0.6324  0.7874  0.6957
Se  0.9083  0.5632  0.1957
Tl  0.5000  0.5000  0.5000
Se  0.6550  0.5632  0.8676
Se  0.3043  0.5917  0.4368
Tl  0.0000  0.0000  0.5000
Tl  0.2500  0.8750  0.1250
Se  0.1957  0.1324  0.7874
Tl  0.5000  0.0000  0.0000
Se  0.5632  0.6550  0.3676
Se  0.2874  0.5917  0.6550

***

[16]
Entry from Alexandria: a relaxed structure of LiTlSe2 (PBE).

Unit cell a=3.9324 b=4.0127 c=6.9007 alpha=63.63 beta=90.00 gamma=90.00
Sites, in units of the cell vectors:
Se  0.0000  0.9955  0.9328
Tl  0.5000  0.2500  0.2500
Se  0.0000  0.5045  0.5672
Li  0.5000  0.7500  0.7500

***

[17]
Entry from Alexandria: a relaxed structure of LiTlSe2 (PBE).

Unit cell a=3.1488 b=3.1488 c=9.0313 alpha=90.00 beta=90.00 gamma=90.00
Sites, in units of the cell vectors:
Li  0.5000  0.5000  0.7500
Tl  0.5000  0.5000  0.2500
Se  0.0000  0.0000  0.9536
Se  0.0000  0.0000  0.5464

***

[18]
Entry from Alexandria: a relaxed structure of LiTl2Se (PBE).

Unit cell a=5.3184 b=5.3184 c=5.3184 alpha=60.00 beta=60.00 gamma=60.00
Sites, in units of the cell vectors:
Tl  0.0000  0.0000  0.0000
Tl  0.2500  0.2500  0.2500
Li  0.5000  0.5000  0.5000
Se  0.7500  0.7500  0.7500

***

[19]
Entry from Alexandria: a relaxed structure of LiTl2Se2 (PBE).

Unit cell a=7.8900 b=7.8900 c=4.3580 alpha=90.00 beta=90.00 gamma=90.00
Sites, in units of the cell vectors:
Tl  0.6421  0.8579  0.5000
Se  0.1746  0.3254  0.0000
Se  0.3254  0.8254  0.0000
Se  0.8254  0.6746  0.0000
Tl  0.8579  0.3579  0.5000
Tl  0.1421  0.6421  0.5000
Tl  0.3579  0.1421  0.5000
Li  0.0000  0.0000  0.0000
Se  0.6746  0.1746  0.0000
Li  0.5000  0.5000  0.0000

The calculation puts the distance to the lowest polymorph of the same formula at 122 meV/atom.

***

[20]
Entry from Alexandria: a relaxed structure of LiTlSe2 (PBE).

Unit cell a=3.2426 b=3.2426 c=10.2676 alpha=90.00 beta=90.00 gamma=89.87
Sites, in units of the cell vectors:
Li  0.5000  0.5000  0.8085
Tl  0.0000  0.0000  0.4872
Se  0.0000  0.0000  0.9212
Se  0.5000  0.5000  0.2831

***

Uncorrected formation energy
In order: -0.58 -0.43 -0.57 -0.46 -0.55 -0.32 -0.52 0.13 -0.41 -0.27 -0.25 -0.47 -0.25 -0.27 -0.28 -0.49 -0.37 -0.21 -0.40 -0.20
Unit: eV/atom